Record 1
DFT (PBE) results for a relaxed HfTlHg2Cl6 crystal.

## Properties
As for the density of states at the Fermi level: 7.80 states/eV/cell. The uncorrected formation energy comes out at -1140 meV per atom.

Cell lengths 7.0734, 9.4859, 9.8845 Å; angles 90.00, 111.22, 90.00 degrees
With the nearest neighbours (Å) after each atom.
Space group P2_1/c (No. 14)
Inequivalent atoms, fractional coordinates:
Hf 0.0000 0.0000 0.0000 (multiplicity 2)  6 Cl 2.44-2.49
Tl 0.5000 0.0000 0.5000 (multiplicity 2)  2 Hg 2.99, 2 Cl 3.13
Hg 0.3388 0.0590 0.7351 (multiplicity 4)  2 Cl 2.95-3.08, 1 Tl 2.99
Cl 0.0714 0.0458 0.2597 (multiplicity 4)  1 Hf 2.47
Cl 0.2118 0.7114 0.5617 (multiplicity 4)  1 Hf 2.44
Cl 0.3038 0.1396 0.0136 (multiplicity 4)  1 Hf 2.49


Record 2
DFT (PBE) results for a relaxed Sm2Y2Cd crystal.

## Properties
As for the density of states at the Fermi level: 15.71 states/eV/cell. Its formation energy is -0.6 eV/f.u.

Cell lengths 3.6162, 3.6162, 23.4209 Å; angles 90.00, 90.00, 90.00 degrees
With the nearest neighbours (Å) after each atom.
Space group I4/mmm (No. 139)
Inequivalent atoms, fractional coordinates:
Sm 0.0000 0.0000 0.1953 (multiplicity 4)  4 Y 3.61, 8 Sm 3.62
Y 0.0000 0.0000 0.4132 (multiplicity 4)  4 Cd 3.27, 4 Sm 3.61, 4 Y 3.62
Cd 0.0000 0.0000 0.0000 (multiplicity 2)  8 Y 3.27, 4 Cd 3.62


Record 3
DFT (PBE) results for a relaxed TaMnAl2 crystal.

## Properties
As for the density of states at the Fermi level: 6.23 states/eV/cell. Its formation energy is -0.6 eV/f.u.

Cell lengths 5.5460, 8.0816, 2.7978 Å; angles 90.00, 90.00, 90.00 degrees
With the nearest neighbours (Å) after each atom.
Space group Cmmm (No. 65)
Inequivalent atoms, fractional coordinates:
Ta 0.0000 0.0000 0.0000 (multiplicity 2)  2 Mn 2.77, 2 Ta 2.80, 8 Al 2.82
Mn 0.0000 0.5000 0.0000 (multiplicity 2)  2 Ta 2.77, 2 Mn 2.80, 8 Al 2.82
Al 0.2500 0.2500 0.5000 (multiplicity 4)  4 Al 2.77-2.80, 4 Ta 2.82, 4 Mn 2.82


Record 4
DFT (PBE) results for a relaxed NaCrGeSe3 crystal.

## Properties
The uncorrected formation energy comes out at -620 meV per atom.

Cell lengths 7.0071, 3.7972, 11.0265 Å; angles 90.00, 101.23, 90.00 degrees
With the nearest neighbours (Å) after each atom.
Space group P2_1/m (No. 11)
Inequivalent atoms, fractional coordinates:
Na 0.0390 0.2500 0.1596 (multiplicity 2)  6 Se 2.95-3.18
Cr 0.4582 0.7500 0.8515 (multiplicity 2)  6 Se 2.56-2.58
Ge 0.3891 0.2500 0.5633 (multiplicity 2)  3 Se 2.52-2.57
Se 0.2049 0.7500 0.6469 (multiplicity 2)  2 Ge 2.57, 1 Cr 2.58
Se 0.2879 0.2500 0.9471 (multiplicity 2)  3 Cr 2.56-2.57
Se 0.3625 0.7500 0.2382 (multiplicity 2)  1 Ge 2.52, 2 Cr 2.58


Record 5
DFT (PBE) results for a relaxed LiLa2ScTe4 crystal.

## Properties
As for the density of states at the Fermi level: 3.52 states/eV/cell. The uncorrected formation energy comes out at -1368 meV per atom.

Cell lengths 7.5426, 4.4045, 7.6710 Å; angles 90.00, 109.53, 90.00 degrees
With the nearest neighbours (Å) after each atom.
Space group P2/m (No. 10)
Inequivalent atoms, fractional coordinates:
Li 0.0000 0.0000 0.0000 (multiplicity 1)  6 Te 2.99-3.00
La 0.5000 0.0000 0.5000 (multiplicity 1)  6 Te 3.22-3.23
La 0.5000 0.5000 0.0000 (multiplicity 1)  6 Te 3.23
Sc 0.0000 0.5000 0.5000 (multiplicity 1)  6 Te 2.99-3.00
Te 0.2208 0.0000 0.7407 (multiplicity 2)  1 Li 2.99, 2 Sc 3.00, 3 La 3.23
Te 0.2220 0.5000 0.2420 (multiplicity 2)  1 Sc 2.99, 2 Li 3.00, 3 La 3.22-3.23


Record 6
DFT (PBE) results for a relaxed LiRhW2C crystal.

## Properties
As for the density of states at the Fermi level: 5.65 states/eV/cell. Its formation energy is 1.2 eV/f.u.

Cell lengths 4.1354, 4.1354, 3.8490 Å; angles 90.00, 90.00, 90.00 degrees
With the nearest neighbours (Å) after each atom.
Space group P4/mmm (No. 123)
Inequivalent atoms, fractional coordinates:
Li 0.0000 0.0000 0.0000 (multiplicity 1)  2 C 1.92
Rh 0.5000 0.5000 0.0000 (multiplicity 1)  8 W 2.82, 4 Li 2.92
W 0.0000 0.5000 0.5000 (multiplicity 2)  2 C 2.07
C 0.0000 0.0000 0.5000 (multiplicity 1)  2 Li 1.92, 4 W 2.07


| no. | calculated volume (Å³ per atom) |
| --- | --- |
| 1 | 30.91 |
| 2 | 30.63 |
| 3 | 15.67 |
| 4 | 23.98 |
| 5 | 30.02 |
| 6 | 13.16 |